(1)
Below is crystalline LaIn2P2 at its relaxed geometry, with properties calculated at the GGA-PBEsol level.

abc: 7.427 7.427 7.427
angles: 147.89 147.89 46.05
Positions (direct):
La (0.000, 0.000, 0.000)
In (0.250, 0.750, 0.500)
In (0.750, 0.250, 0.500)
P (0.421, 0.421, 0.000)
P (0.579, 0.579, 0.000)

Values from the calculation:
crystal system	tetragonal
total magnetization	0.00	μB per cell
energy relative to the elements	-0.526	eV/atom
space group	I4/mmm
DFT total energy	-25.523	eV for the cell shown

=====

(2)
Below is crystalline TaTlSe3 at its relaxed geometry, with properties calculated at the GGA-PBEsol level.

abc: 9.415 3.585 14.681
angles: 90.00 90.00 90.00
Positions (direct):
Ta (0.162, 0.250, 0.071)
Ta (0.338, 0.750, 0.571)
Ta (0.662, 0.250, 0.429)
Ta (0.838, 0.750, 0.929)
Tl (0.018, 0.750, 0.328)
Tl (0.482, 0.250, 0.828)
Tl (0.518, 0.750, 0.172)
Tl (0.982, 0.250, 0.672)
Se (0.031, 0.250, 0.899)
Se (0.179, 0.250, 0.499)
Se (0.245, 0.750, 0.722)
Se (0.255, 0.250, 0.222)
Se (0.321, 0.750, 0.999)
Se (0.469, 0.750, 0.399)
Se (0.531, 0.250, 0.601)
Se (0.679, 0.250, 0.001)
Se (0.745, 0.750, 0.778)
Se (0.755, 0.250, 0.278)
Se (0.821, 0.750, 0.501)
Se (0.969, 0.750, 0.101)

Values from the calculation:
crystal system	orthorhombic
total magnetization	0.00	μB per cell
space group	Pnma
DFT total energy	-119.084	eV for the cell shown
ΔE_f (raw)	-0.608	eV/atom